Here is a geometry-optimized FeH14C3Br3NO2 structure from Alexandria. Energies are from PBE with a Hubbard U.

a = 17.6514 Å, b = 7.7920 Å, c = 8.4204 Å
α = 90.00°, β = 90.00°, γ = 90.00°
With the nearest neighbours (Å) after each atom.
Atoms (fractional coordinates):
Fe 0.0000 0.0000 0.0000  2 O 2.15
Fe 0.0000 0.5000 0.0000  2 O 2.15
Fe 0.5000 0.0000 0.5000  2 O 2.15
Fe 0.5000 0.5000 0.5000  2 O 2.15
H 0.0150 0.0976 0.3127  1 O 0.99
H 0.0150 0.4024 0.3127  1 O 0.99
H 0.0391 0.0640 0.6898  1 O 1.00
H 0.0391 0.4360 0.6898  1 O 1.00
H 0.1297 0.7500 0.7625  1 N 1.04
H 0.1318 0.6346 0.4976  1 C 1.10
H 0.1318 0.8654 0.4976  1 C 1.10
H 0.1896 0.0207 0.7138  1 C 1.10
H 0.1896 0.4793 0.7138  1 C 1.10
H 0.2185 0.7500 0.4635  1 C 1.10
H 0.2217 0.0925 0.1915  1 C 1.10
H 0.2217 0.4075 0.1915  1 C 1.10
H 0.2292 0.5943 0.8789  1 C 1.09
H 0.2292 0.9057 0.8789  1 C 1.09
H 0.2708 0.0943 0.3789  1 C 1.09
H 0.2708 0.4057 0.3789  1 C 1.09
H 0.2783 0.5925 0.6915  1 C 1.10
H 0.2783 0.9075 0.6915  1 C 1.10
H 0.2815 0.2500 0.9635  1 C 1.10
H 0.3104 0.5207 0.2138  1 C 1.10
H 0.3104 0.9793 0.2138  1 C 1.10
H 0.3682 0.1346 0.9976  1 C 1.10
H 0.3682 0.3654 0.9976  1 C 1.10
H 0.3703 0.2500 0.2625  1 N 1.04
H 0.4609 0.5640 0.1898  1 O 1.00
H 0.4609 0.9360 0.1898  1 O 1.00
H 0.4850 0.5976 0.8127  1 O 0.99
H 0.4850 0.9024 0.8127  1 O 0.99
H 0.5150 0.0976 0.1873  1 O 0.99
H 0.5150 0.4024 0.1873  1 O 0.99
H 0.5391 0.0640 0.8102  1 O 1.00
H 0.5391 0.4360 0.8102  1 O 1.00
H 0.6297 0.7500 0.7375  1 N 1.04
H 0.6318 0.6346 0.0024  1 C 1.10
H 0.6318 0.8654 0.0024  1 C 1.10
H 0.6896 0.0207 0.7862  1 C 1.10
H 0.6896 0.4793 0.7862  1 C 1.10
H 0.7185 0.7500 0.0365  1 C 1.10
H 0.7217 0.0925 0.3085  1 C 1.10
H 0.7217 0.4075 0.3085  1 C 1.10
H 0.7292 0.5943 0.6211  1 C 1.09
H 0.7292 0.9057 0.6211  1 C 1.09
H 0.7708 0.0943 0.1211  1 C 1.09
H 0.7708 0.4057 0.1211  1 C 1.09
H 0.7783 0.5925 0.8085  1 C 1.10
H 0.7783 0.9075 0.8085  1 C 1.10
H 0.7815 0.2500 0.5365  1 C 1.10
H 0.8104 0.5207 0.2862  1 C 1.10
H 0.8104 0.9793 0.2862  1 C 1.10
H 0.8682 0.1346 0.5024  1 C 1.10
H 0.8682 0.3654 0.5024  1 C 1.10
H 0.8703 0.2500 0.2375  1 N 1.04
H 0.9609 0.5640 0.3102  1 O 1.00
H 0.9609 0.9360 0.3102  1 O 1.00
H 0.9850 0.5976 0.6873  1 O 0.99
H 0.9850 0.9024 0.6873  1 O 0.99
C 0.1643 0.7500 0.5271  3 H 1.10
C 0.2228 0.5916 0.7497  3 H 1.09-1.10
C 0.2228 0.9084 0.7497  3 H 1.09-1.10
C 0.2772 0.0916 0.2497  3 H 1.09-1.10
C 0.2772 0.4084 0.2497  3 H 1.09-1.10
C 0.3357 0.2500 0.0271  3 H 1.10
C 0.6643 0.7500 0.9729  3 H 1.10
C 0.7228 0.5916 0.7503  3 H 1.09-1.10
C 0.7228 0.9084 0.7503  3 H 1.09-1.10
C 0.7772 0.0916 0.2503  3 H 1.09-1.10
C 0.7772 0.4084 0.2503  3 H 1.09-1.10
C 0.8357 0.2500 0.4729  3 H 1.10
Br 0.0846 0.2500 0.5001  4 H 2.30-2.33
Br 0.1011 0.7500 0.0767  1 H 2.69, 2 Fe 2.72
Br 0.1028 0.2500 0.0043  2 Fe 2.66, 2 H 2.90
Br 0.3972 0.7500 0.5043  2 Fe 2.66, 2 H 2.90
Br 0.3989 0.2500 0.5767  1 H 2.69, 2 Fe 2.72
Br 0.4154 0.7500 0.0001  4 H 2.30-2.33
Br 0.5846 0.2500 0.9999  4 H 2.30-2.33
Br 0.6011 0.7500 0.4233  1 H 2.69, 2 Fe 2.72
Br 0.6028 0.2500 0.4957  2 Fe 2.66, 2 H 2.90
Br 0.8972 0.7500 0.9957  2 Fe 2.66, 2 H 2.90
Br 0.8989 0.2500 0.9233  1 H 2.69, 2 Fe 2.72
Br 0.9154 0.7500 0.4999  4 H 2.30-2.33
N 0.1808 0.7500 0.7012  1 H 1.04
N 0.3192 0.2500 0.2012  1 H 1.04
N 0.6808 0.7500 0.7988  1 H 1.04
N 0.8192 0.2500 0.2988  1 H 1.04
O 0.0241 0.5388 0.7525  2 H 0.99-1.00
O 0.0241 0.9612 0.7525  2 H 0.99-1.00
O 0.4759 0.0388 0.2525  2 H 0.99-1.00
O 0.4759 0.4612 0.2525  2 H 0.99-1.00
O 0.5241 0.5388 0.7475  2 H 0.99-1.00
O 0.5241 0.9612 0.7475  2 H 0.99-1.00
O 0.9759 0.0388 0.2475  2 H 0.99-1.00
O 0.9759 0.4612 0.2475  2 H 0.99-1.00

Calculated values
symmetry: Pnma, No. 62
E: -0.357 Ry per atom